The following is a PBE+U calculation of a relaxed Na3Ni2O5 crystal, from Alexandria via LeMat-Bulk.

E_tot in hartree per atom: -0.163
SG: P-1, No. 2
Total magnetic moment in Bohr magnetons per cell: 2.00

abc: 5.3007 6.3363 6.9359
angles: 107.58 96.47 107.23
Sites, in units of the cell vectors:
Na1 0.0000 0.0000 0.0000
Na2 0.0000 0.5000 0.0000
Na3 0.2050 0.4031 0.3887
Na4 0.3804 0.7887 0.7986
Na5 0.6196 0.2113 0.2014
Na6 0.7950 0.5969 0.6113
Ni1 0.2025 0.9055 0.4057
Ni2 0.3975 0.2952 0.7960
Ni3 0.6025 0.7048 0.2040
Ni4 0.7975 0.0945 0.5943
O1 0.1008 0.3898 0.6938
O2 0.1226 0.9847 0.6823
O3 0.3294 0.8444 0.1489
O4 0.3494 0.3789 0.0797
O5 0.4761 0.2192 0.5244
O6 0.5239 0.7808 0.4756
O7 0.6506 0.6211 0.9203
O8 0.6706 0.1556 0.8511
O9 0.8774 0.0153 0.3177
O10 0.8992 0.6102 0.3062

=====

The following is a PBE+U calculation of a relaxed Na6Ni7O14 crystal, from Alexandria via LeMat-Bulk.

E_tot in hartree per atom: -0.168
SG: R-3, No. 148
Total magnetic moment in Bohr magnetons per cell: 6.00

abc: 6.9819 6.9819 6.9819
angles: 67.91 67.91 67.91
Sites, in units of the cell vectors:
Na1 0.0804 0.7765 0.6331
Na2 0.2235 0.3669 0.9196
Na3 0.3669 0.9196 0.2235
Na4 0.6331 0.0804 0.7765
Na5 0.7765 0.6331 0.0804
Na6 0.9196 0.2235 0.3669
Ni1 0.0000 0.0000 0.0000
Ni2 0.1463 0.5764 0.2807
Ni3 0.2807 0.1463 0.5764
Ni4 0.4236 0.7193 0.8537
Ni5 0.5764 0.2807 0.1463
Ni6 0.7193 0.8537 0.4236
Ni7 0.8537 0.4236 0.7193
O1 0.0327 0.8799 0.2841
O2 0.1201 0.7159 0.9673
O3 0.1479 0.4341 0.6010
O4 0.2700 0.2700 0.2700
O5 0.2841 0.0327 0.8799
O6 0.3990 0.8521 0.5659
O7 0.4341 0.6010 0.1479
O8 0.5659 0.3990 0.8521
O9 0.6010 0.1479 0.4341
O10 0.7159 0.9673 0.1201
O11 0.7300 0.7300 0.7300
O12 0.8521 0.5659 0.3990
O13 0.8799 0.2841 0.0327
O14 0.9673 0.1201 0.7159

=====

The following is a PBE+U calculation of a relaxed Na2NiO2 crystal, from Alexandria via LeMat-Bulk.

Energy above the most stable polymorph in this dataset in eV/f.u.: 4.232
SG: P4/mbm, No. 127
Total magnetic moment in Bohr magnetons per cell: 4.00

abc: 6.5990 6.5990 2.6712
angles: 90.00 90.00 90.00
Sites, in units of the cell vectors:
Na1 0.1234 0.3766 0.0000
Na2 0.3766 0.8766 0.0000
Na3 0.6234 0.1234 0.0000
Na4 0.8766 0.6234 0.0000
Ni1 0.0000 0.0000 0.0000
Ni2 0.5000 0.5000 0.0000
O1 0.1794 0.6794 0.5000
O2 0.3206 0.1794 0.5000
O3 0.6794 0.8206 0.5000
O4 0.8206 0.3206 0.5000

=====

These records have Fermi-level density of states values of 0.0510; 0.0521; 0.2171 states/eV per atom, in the order they appear.